Entry 1:
The following is a PBE calculation of a geometry-optimized ErHf2Sc structure, from Alexandria.

Values from the calculation:
Raw total energy: -30.4 eV/f.u.
ΔE to the lowest computed polymorph: 23 meV/atom

Unit cell a=10.6874 b=10.6874 c=10.6874 alpha=17.57 beta=17.57 gamma=17.57
Atoms (fractional coordinates):
Er  0.0000  0.0000  0.0000
Hf  0.5815  0.5815  0.5815
Hf  0.7520  0.7520  0.7520
Sc  0.1663  0.1663  0.1663


Entry 2:
The following is a PBE calculation of a geometry-optimized ErHf2Sc structure, from Alexandria.

Values from the calculation:
Raw total energy: -29.8 eV/f.u.
ΔE to the lowest computed polymorph: 162 meV/atom

Unit cell a=3.7062 b=3.7062 c=7.1084 alpha=90.00 beta=90.00 gamma=90.00
Atoms (fractional coordinates):
Er  0.0000  0.0000  0.0000
Hf  0.5000  0.5000  0.2839
Hf  0.5000  0.5000  0.7161
Sc  0.0000  0.0000  0.5000


Entry 3:
The following is a PBE calculation of a geometry-optimized Er2HfSc3 structure, from Alexandria.

Values from the calculation:
Raw total energy: -37.5 eV/f.u.

Unit cell a=6.1645 b=6.1645 c=8.4254 alpha=99.29 beta=99.29 gamma=93.80
Atoms (fractional coordinates):
Er  0.1184  0.6271  0.8772
Er  0.3729  0.8816  0.6228
Er  0.6271  0.1184  0.3772
Er  0.8816  0.3729  0.1228
Hf  0.0871  0.9129  0.2500
Hf  0.9129  0.0871  0.7500
Sc  0.1620  0.3225  0.4940
Sc  0.3225  0.1620  0.9940
Sc  0.4152  0.5848  0.2500
Sc  0.5848  0.4152  0.7500
Sc  0.6775  0.8380  0.0060
Sc  0.8380  0.6775  0.5060


Entry 4:
The following is a PBE calculation of a geometry-optimized ErHfSc structure, from Alexandria.

Values from the calculation:
Raw total energy: -20.4 eV/f.u.
ΔE to the lowest computed polymorph: 123 meV/atom

Unit cell a=9.8823 b=9.8823 c=4.8129 alpha=90.00 beta=90.00 gamma=161.32
Atoms (fractional coordinates):
Er  0.0499  0.9501  0.7500
Er  0.9501  0.0499  0.2500
Hf  0.3718  0.6282  0.7500
Hf  0.6282  0.3718  0.2500
Sc  0.2083  0.7917  0.7500
Sc  0.7917  0.2083  0.2500


What energy relative to the elements values result from the calculations? In sequence: 109; 247; 93; 152 meV/atom.